Entry from the Alexandria database: crystalline NiO2 at its relaxed geometry (PBE+U).

## Properties
Space-group type: No. 166
Total DFT energy (no corrections): -4.574 eV/atom
Size of the total moment: 0.000 Bohr magnetons per cell

Cell lengths 4.9924, 4.9924, 4.9924 Å; angles 32.56, 32.56, 32.56 degrees
Fractional coordinates of all 3 atoms:
Ni 0.0000 0.0000 0.0000
O 0.2662 0.2662 0.2662
O 0.7338 0.7338 0.7338